Record 1
The following is a DFT calculation (PBE) of a relaxed structure of VGa4Bi2.

N(E_F) ... 12.54 states/eV per cell
Energy of formation ... 0.3488 eV per atom
Calculated volume ... 361.9 Å³ per cell
Uncorrected energy ... -3.792 eV/atom

The structure in CIF format:
```
data_VGa4Bi2
_cell_length_a 5.003
_cell_length_b 5.003
_cell_length_c 14.456
_cell_angle_alpha 90.00
_cell_angle_beta 90.00
_cell_angle_gamma 90.00
_space_group_name_H-M_alt 'I 4/m m m'
_space_group_IT_number 139
_space_group_name_Hall '-I 4 2'
loop_
_atom_site_label
_atom_site_fract_x
_atom_site_fract_y
_atom_site_fract_z
_atom_site_occupancy
V1 0.000 0.000 0.000 1
Ga1 0.000 0.000 0.174 1
Ga2 0.000 0.500 0.000 1
Bi1 0.000 0.000 0.369 1
```


Record 2
The following is a DFT calculation (PBE) of a relaxed structure of NdMg11In.

N(E_F) ... 9.04 states/eV per cell
Energy of formation ... -0.0789 eV per atom
Calculated volume ... 622.2 Å³ per cell
Uncorrected energy ... -2.006 eV/atom

The structure in CIF format:
```
data_NdMg11In
_cell_length_a 5.940
_cell_length_b 14.514
_cell_length_c 7.780
_cell_angle_alpha 90.00
_cell_angle_beta 111.92
_cell_angle_gamma 90.00
_space_group_name_H-M_alt 'C 1 2/m 1'
_space_group_IT_number 12
loop_
_space_group_symop_operation_xyz
'x,y,z'
'-x,-y,-z'
'-x,y,-z'
'x,-y,z'
'x+1/2,y+1/2,z'
'-x+1/2,-y+1/2,-z'
'-x+1/2,y+1/2,-z'
'x+1/2,-y+1/2,z'
loop_
_atom_site_label
_atom_site_fract_x
_atom_site_fract_y
_atom_site_fract_z
_atom_site_occupancy
Nd1 0.000 0.000 0.000 1
Mg1 0.000 0.000 0.500 1
Mg2 0.108 0.394 0.212 1
Mg3 0.172 0.176 0.352 1
Mg4 0.250 0.250 0.000 1
In1 0.000 0.500 0.500 1
```


Record 3
The following is a DFT calculation (PBE) of a relaxed structure of YIr3.

N(E_F) ... 8.76 states/eV per cell
Energy of formation ... 0.2119 eV per atom
Calculated volume ... 199.8 Å³ per cell
Uncorrected energy ... -8.050 eV/atom

The structure in CIF format:
```
data_YIr3
_cell_length_a 2.8403
_cell_length_b 2.8403
_cell_length_c 28.6028
_cell_angle_alpha 90.00
_cell_angle_beta 90.00
_cell_angle_gamma 120.00
_space_group_name_H-M_alt 'R -3 m'
_space_group_IT_number 166
_space_group_name_Hall '-R 3 2"'
loop_
_atom_site_label
_atom_site_fract_x
_atom_site_fract_y
_atom_site_fract_z
_atom_site_occupancy
Y1 0.0000 0.0000 0.0000 1
Ir1 0.0000 0.0000 0.2432 1
Ir2 0.0000 0.0000 0.5000 1
```


Record 4
The following is a DFT calculation (PBE) of a relaxed structure of PrSm4Si4.

N(E_F) ... 20.62 states/eV per cell
Calculated volume ... 498.2 Å³ per cell
Uncorrected formation energy ... -0.442 eV/atom
Uncorrected energy ... -5.481 eV/atom

The structure in CIF format:
```
data_PrSm4Si4
_cell_length_a 9.177
_cell_length_b 9.177
_cell_length_c 5.915
_cell_angle_alpha 90.00
_cell_angle_beta 90.00
_cell_angle_gamma 90.00
_space_group_name_H-M_alt 'P 42/n'
_space_group_IT_number 86
loop_
_space_group_symop_operation_xyz
'x,y,z'
'-x,-y,-z'
'-y,x+1/2,z+1/2'
'y,-x+1/2,-z+1/2'
'-x+1/2,-y+1/2,z'
'x+1/2,y+1/2,-z'
'y+1/2,-x,z+1/2'
'-y+1/2,x,-z+1/2'
loop_
_atom_site_label
_atom_site_fract_x
_atom_site_fract_y
_atom_site_fract_z
_atom_site_occupancy
Pr1 0.250 0.250 0.250 1
Sm1 0.071 0.661 0.123 1
Si1 0.023 0.610 0.616 1
```


Record 5
The following is a DFT calculation (PBE) of a relaxed structure of Tb2Ag3Hg.

Distance to the lowest polymorph of the same formula ... 0.61 eV/f.u.
N(E_F) ... 6.23 states/eV per cell
Energy of formation ... -0.2047 eV per atom
Calculated volume ... 294.1 Å³ per cell
Uncorrected energy ... -3.224 eV/atom

The structure in CIF format:
```
data_Tb2Ag3Hg
_cell_length_a 3.923
_cell_length_b 4.029
_cell_length_c 18.604
_cell_angle_alpha 90.00
_cell_angle_beta 90.00
_cell_angle_gamma 90.00
_space_group_name_H-M_alt 'I m m 2'
_space_group_IT_number 44
loop_
_space_group_symop_operation_xyz
'x,y,z'
'-x,-y,z'
'-x,y,z'
'x,-y,z'
'x+1/2,y+1/2,z+1/2'
'-x+1/2,-y+1/2,z+1/2'
'-x+1/2,y+1/2,z+1/2'
'x+1/2,-y+1/2,z+1/2'
loop_
_atom_site_label
_atom_site_fract_x
_atom_site_fract_y
_atom_site_fract_z
_atom_site_occupancy
Tb1 0.000 0.000 0.000 1
Tb2 0.000 0.500 0.235 1
Ag1 0.000 0.000 0.569 1
Ag2 0.000 0.500 0.664 1
Ag3 0.000 0.500 0.811 1
Hg1 0.000 0.000 0.415 1
```


Record 6
The following is a DFT calculation (PBE) of a relaxed structure of BeHg2Te.

Distance to the lowest polymorph of the same formula ... 2.25 eV/f.u.
N(E_F) ... 5.11 states/eV per cell
Calculated volume ... 379.8 Å³ per cell
Uncorrected formation energy ... 0.530 eV/atom
Uncorrected energy ... -1.338 eV/atom

The structure in CIF format:
```
data_BeHg2Te
_cell_length_a 7.142
_cell_length_b 7.279
_cell_length_c 7.307
_cell_angle_alpha 90.00
_cell_angle_beta 90.00
_cell_angle_gamma 90.00
_space_group_name_H-M_alt 'F 2 2 2'
_space_group_IT_number 22
_space_group_name_Hall 'F 2 2'
loop_
_atom_site_label
_atom_site_fract_x
_atom_site_fract_y
_atom_site_fract_z
_atom_site_occupancy
Be1 0.000 0.000 0.000 1
Hg1 0.000 0.000 0.500 1
Hg2 0.250 0.250 0.750 1
Te1 0.250 0.250 0.250 1
```


Record 7
The following is a DFT calculation (PBE) of a relaxed structure of AcY3Tm3.

N(E_F) ... 132.67 states/eV per cell
Energy of formation ... 0.1301 eV per atom
Calculated volume ... 2850.2 Å³ per cell
Uncorrected energy ... -5.144 eV/atom

The structure in CIF format:
```
data_AcY3Tm3
_cell_length_a 22.1842
_cell_length_b 22.1842
_cell_length_c 6.6875
_cell_angle_alpha 90.00
_cell_angle_beta 90.00
_cell_angle_gamma 120.00
_space_group_name_H-M_alt 'R 3 m'
_space_group_IT_number 160
_space_group_name_Hall 'R 3 -2"'
loop_
_atom_site_label
_atom_site_fract_x
_atom_site_fract_y
_atom_site_fract_z
_atom_site_occupancy
Ac1 0.0000 0.0000 0.0000 1
Ac2 0.1230 0.0615 0.4601 1
Y1 0.0135 0.2351 0.2202 1
Y2 0.0346 0.5173 0.1970 1
Y3 0.0866 0.1731 0.8798 1
Tm1 0.0700 0.4000 0.3974 1
Tm2 0.1753 0.3506 0.0253 1
Tm3 0.1958 0.0979 0.9441 1
```


Record 8
The following is a DFT calculation (PBE) of a relaxed structure of NaGe3Br.

Distance to the lowest polymorph of the same formula ... 0.00 eV/f.u.
N(E_F) ... 1.82 states/eV per cell
Calculated volume ... 147.8 Å³ per cell
Uncorrected formation energy ... 0.692 eV/atom
Uncorrected energy ... -2.676 eV/atom

The structure in CIF format:
```
data_NaGe3Br
_cell_length_a 5.287
_cell_length_b 5.287
_cell_length_c 5.287
_cell_angle_alpha 90.00
_cell_angle_beta 90.00
_cell_angle_gamma 90.00
_space_group_name_H-M_alt 'P m -3 m'
_space_group_IT_number 221
_space_group_name_Hall '-P 4 2 3'
loop_
_atom_site_label
_atom_site_fract_x
_atom_site_fract_y
_atom_site_fract_z
_atom_site_occupancy
Na1 0.000 0.000 0.000 1
Ge1 0.000 0.500 0.500 1
Br1 0.500 0.500 0.500 1
```


Record 9
The following is a DFT calculation (PBE) of a relaxed structure of BaLa3.

Distance to the lowest polymorph of the same formula ... 0.32 eV/f.u.
N(E_F) ... 15.35 states/eV per cell
Energy of formation ... 0.1646 eV per atom
Calculated volume ... 333.0 Å³ per cell
Uncorrected energy ... -4.012 eV/atom

The structure in CIF format:
```
data_BaLa3
_cell_length_a 7.8991
_cell_length_b 7.8991
_cell_length_c 6.1630
_cell_angle_alpha 90.00
_cell_angle_beta 90.00
_cell_angle_gamma 120.00
_space_group_name_H-M_alt 'P 63/m m c'
_space_group_IT_number 194
_space_group_name_Hall '-P 6c 2c'
loop_
_atom_site_label
_atom_site_fract_x
_atom_site_fract_y
_atom_site_fract_z
_atom_site_occupancy
Ba1 0.3333 0.6667 0.2500 1
La1 0.1576 0.3153 0.7500 1
```


Record 10
The following is a DFT calculation (PBE) of a relaxed structure of Li2TlSb2.

Distance to the lowest polymorph of the same formula ... 0.32 eV/f.u.
N(E_F) ... 3.47 states/eV per cell
Calculated volume ... 270.3 Å³ per cell
Uncorrected formation energy ... -0.226 eV/atom
Uncorrected energy ... -3.113 eV/atom

The structure in CIF format:
```
data_Li2TlSb2
_cell_length_a 4.764
_cell_length_b 7.587
_cell_length_c 7.479
_cell_angle_alpha 90.00
_cell_angle_beta 90.00
_cell_angle_gamma 90.00
_space_group_name_H-M_alt 'C m m m'
_space_group_IT_number 65
_space_group_name_Hall '-C 2 2'
loop_
_atom_site_label
_atom_site_fract_x
_atom_site_fract_y
_atom_site_fract_z
_atom_site_occupancy
Li1 0.000 0.168 0.000 1
Tl1 0.000 0.000 0.500 1
Sb1 0.000 0.500 0.193 1
```


Record 11
The following is a DFT calculation (PBE) of a relaxed structure of Cs2MnTlBr6.

Distance to the lowest polymorph of the same formula ... 0.20 eV/f.u.
N(E_F) ... 4.14 states/eV per cell
Calculated volume ... 421.7 Å³ per cell
Uncorrected formation energy ... -1.166 eV/atom
Uncorrected energy ... -3.494 eV/atom

The structure in CIF format:
```
data_Cs2MnTlBr6
_cell_length_a 7.7438
_cell_length_b 7.7438
_cell_length_c 8.1203
_cell_angle_alpha 90.00
_cell_angle_beta 90.00
_cell_angle_gamma 120.00
_space_group_name_H-M_alt 'P -3 m 1'
_space_group_IT_number 164
_space_group_name_Hall '-P 3 2"'
loop_
_atom_site_label
_atom_site_fract_x
_atom_site_fract_y
_atom_site_fract_z
_atom_site_occupancy
Cs1 0.3333 0.6667 0.1660 1
Mn1 0.0000 0.0000 0.0000 1
Tl1 0.0000 0.0000 0.5000 1
Br1 0.1573 0.3147 0.8149 1
```


Record 12
The following is a DFT calculation (PBE) of a relaxed structure of Nd2TlSi2Rh5.

N(E_F) ... 7.43 states/eV per cell
Calculated volume ... 358.3 Å³ per cell
Uncorrected formation energy ... -0.789 eV/atom
Uncorrected energy ... -6.739 eV/atom

The structure in CIF format:
```
data_Nd2TlSi2Rh5
_cell_length_a 10.039
_cell_length_b 10.039
_cell_length_c 3.555
_cell_angle_alpha 90.00
_cell_angle_beta 90.00
_cell_angle_gamma 90.00
_space_group_name_H-M_alt 'P 4/m b m'
_space_group_IT_number 127
_space_group_name_Hall '-P 4 2ab'
loop_
_atom_site_label
_atom_site_fract_x
_atom_site_fract_y
_atom_site_fract_z
_atom_site_occupancy
Nd1 0.177 0.323 0.000 1
Tl1 0.000 0.000 0.000 1
Si1 0.120 0.620 0.000 1
Rh1 0.000 0.500 0.500 1
Rh2 0.069 0.777 0.500 1
```


Record 13
The following is a DFT calculation (PBE) of a relaxed structure of Er3Mg3Ag2.

Distance to the lowest polymorph of the same formula ... 0.14 eV/f.u.
N(E_F) ... 4.93 states/eV per cell
Energy of formation ... -0.1510 eV per atom
Calculated volume ... 190.3 Å³ per cell
Uncorrected energy ... -3.173 eV/atom

The structure in CIF format:
```
data_Er3Mg3Ag2
_cell_length_a 4.944
_cell_length_b 5.124
_cell_length_c 7.510
_cell_angle_alpha 90.00
_cell_angle_beta 90.00
_cell_angle_gamma 90.00
_space_group_name_H-M_alt 'P m m m'
_space_group_IT_number 47
loop_
_space_group_symop_operation_xyz
'x,y,z'
'-x,-y,-z'
'-x,-y,z'
'x,y,-z'
'x,-y,-z'
'-x,y,z'
'-x,y,-z'
'x,-y,z'
loop_
_atom_site_label
_atom_site_fract_x
_atom_site_fract_y
_atom_site_fract_z
_atom_site_occupancy
Er1 0.000 0.000 0.000 1
Er2 0.000 0.000 0.500 1
Er3 0.500 0.500 0.000 1
Mg1 0.000 0.500 0.266 1
Mg2 0.500 0.500 0.500 1
Ag1 0.500 0.000 0.248 1
```


Record 14
The following is a DFT calculation (PBE) of a relaxed structure of ScCdIr2.

N(E_F) ... 3.00 states/eV per cell
Energy of formation ... -0.2322 eV per atom
Calculated volume ... 67.2 Å³ per cell
Uncorrected energy ... -6.474 eV/atom

The structure in CIF format:
```
data_ScCdIr2
_cell_length_a 4.781
_cell_length_b 2.985
_cell_length_c 5.048
_cell_angle_alpha 90.00
_cell_angle_beta 111.05
_cell_angle_gamma 90.00
_space_group_name_H-M_alt 'P 1 2/m 1'
_space_group_IT_number 10
loop_
_space_group_symop_operation_xyz
'x,y,z'
'-x,-y,-z'
'-x,y,-z'
'x,-y,z'
loop_
_atom_site_label
_atom_site_fract_x
_atom_site_fract_y
_atom_site_fract_z
_atom_site_occupancy
Sc1 0.000 0.000 0.000 1
Cd1 0.000 0.500 0.500 1
Ir1 0.500 0.000 0.500 1
Ir2 0.500 0.500 0.000 1
```


Record 15
The following is a DFT calculation (PBE) of a relaxed structure of Mg4Zn2Hg.

N(E_F) ... 9.24 states/eV per cell
Energy of formation ... -0.0532 eV per atom
Calculated volume ... 439.3 Å³ per cell
Uncorrected energy ... -1.372 eV/atom

The structure in CIF format:
```
data_Mg4Zn2Hg
_cell_length_a 4.6999
_cell_length_b 4.6999
_cell_length_c 22.9660
_cell_angle_alpha 90.00
_cell_angle_beta 90.00
_cell_angle_gamma 120.00
_space_group_name_H-M_alt 'R -3 m'
_space_group_IT_number 166
_space_group_name_Hall '-R 3 2"'
loop_
_atom_site_label
_atom_site_fract_x
_atom_site_fract_y
_atom_site_fract_z
_atom_site_occupancy
Mg1 0.0000 0.0000 0.1176 1
Mg2 0.0000 0.0000 0.3715 1
Zn1 0.0000 0.0000 0.2513 1
Hg1 0.0000 0.0000 0.5000 1
```


Record 16
The following is a DFT calculation (PBE) of a relaxed structure of Tb5Te4Ir.

Distance to the lowest polymorph of the same formula ... 0.00 eV/f.u.
N(E_F) ... 18.98 states/eV per cell
Calculated volume ... 585.5 Å³ per cell
Uncorrected formation energy ... -1.237 eV/atom
Uncorrected energy ... -5.695 eV/atom

The structure in CIF format:
```
data_Tb5Te4Ir
_cell_length_a 9.753
_cell_length_b 9.753
_cell_length_c 6.156
_cell_angle_alpha 90.00
_cell_angle_beta 90.00
_cell_angle_gamma 90.00
_space_group_name_H-M_alt 'I 4/m'
_space_group_IT_number 87
_space_group_name_Hall '-I 4'
loop_
_atom_site_label
_atom_site_fract_x
_atom_site_fract_y
_atom_site_fract_z
_atom_site_occupancy
Tb1 0.000 0.000 0.000 1
Tb2 0.093 0.739 0.500 1
Te1 0.089 0.690 0.000 1
Ir1 0.000 0.000 0.500 1
```


Total moment for the records above, in order: 2.59; 0.00; 0.00; 0.00; 0.00; 0.00; 0.00; 0.00; 0.00; 0.00; 4.00; 0.00; 0.00; 0.00; 0.00; 0.00 μB per cell